A relaxed Ba2CuNiO4 crystal, computed with PBE+U.

abc: 5.7088 11.1611 20.2387
angles: 90.00 90.00 90.00
With the nearest neighbours (Å) after each atom.
Space group Fddd (No. 70, origin choice 2)
One atom of each set of equivalent atoms:
Ba 0.1250 0.1250 0.2925 (multiplicity 16)  4 O 2.52-2.71
Cu 0.1250 0.1250 0.6250 (multiplicity 8)  4 O 1.96
Ni 0.1250 0.1250 0.1250 (multiplicity 8)  4 O 1.89
O 0.1174 0.3654 0.3114 (multiplicity 32)  1 Ni 1.89, 1 Cu 1.96

Output
Total energy, eV/atom: -5.244